CaMn2Ni: relaxed, GGA-PBE.

Properties
Total moment   0.039 μB/f.u.
DFT total energy   -25.5 eV per cell
Crystal system   trigonal

Lattice parameters (Å, degrees): 4.077 4.077 5.770 69.32 69.32 59.98
Atoms (fractional coordinates):
Mn (0.737, 0.737, 0.790)
Ca (0.250, 0.250, 0.249)
Mn (0.059, 0.059, 0.823)
Ni (0.454, 0.454, 0.638)

CaMn2Ni: relaxed, GGA-PBE.

Properties
Total moment   7.450 μB/f.u.
DFT total energy   -23.9 eV per cell
Crystal system   monoclinic

Lattice parameters (Å, degrees): 5.482 5.482 2.858 76.89 76.89 119.91
Atoms (fractional coordinates):
Ni (0.500, 0.000, 0.500)
Mn (0.000, 0.000, 0.000)
Mn (0.500, 0.500, 0.000)
Ca (0.000, 0.500, 0.500)